Material: Er2Tl2CrO6
Method: DFT, GGA+U
State: relaxed

Magnetization in μB per formula unit: 1.988
Total energy in eV/cell: -149.2

Cell: 5.6910 9.8496 6.7291 Å, 90.00 104.12 90.00°
With the nearest neighbours (Å) after each atom.
Space group C2/m (No. 12)
Asymmetric unit:
Er (0.0000, 0.1661, 0.0000)  6 O 2.25-2.29
Tl (0.0000, 0.3367, 0.5000)  6 O 2.78-3.10
Cr (0.0000, 0.5000, 0.0000)  6 O 1.98-2.01
O (0.1965, 0.3485, 0.1600)  1 Cr 2.01, 2 Er 2.25
O (0.2447, 0.5000, 0.8354)  1 Cr 1.98